Record 1
Here is a relaxed Ac3TiS6 crystal from the Alexandria database. Energies are from PBE.

The structure in CIF format:
```
data_Ac3TiS6
_cell_length_a 6.9900
_cell_length_b 9.2165
_cell_length_c 9.2165
_cell_angle_alpha 102.70
_cell_angle_beta 90.00
_cell_angle_gamma 90.00
_symmetry_space_group_name_H-M 'P 1'
_symmetry_Int_Tables_number 1
_symmetry_space_group_name_Hall 'P 1'
loop_
_atom_site_label
_atom_site_type_symbol
_atom_site_fract_x
_atom_site_fract_y
_atom_site_fract_z
Ac1 Ac 0.4742 0.9167 0.7116
Ac2 Ac 0.9742 0.7116 0.9167
Ac3 Ac 0.4167 0.3953 0.6047
Ac4 Ac 0.9167 0.6047 0.3953
Ac5 Ac 0.9742 0.0833 0.2884
Ac6 Ac 0.4742 0.2884 0.0833
Ti1 Ti 0.0223 0.1939 0.8061
Ti2 Ti 0.5223 0.8061 0.1939
S1 S 0.1968 0.6779 0.6428
S2 S 0.6968 0.6428 0.6779
S3 S 0.1814 0.4181 0.8968
S4 S 0.6814 0.8968 0.4181
S5 S 0.1573 0.0418 0.9582
S6 S 0.6843 0.2163 0.7837
S7 S 0.1843 0.7837 0.2163
S8 S 0.6573 0.9582 0.0418
S9 S 0.1814 0.1032 0.5819
S10 S 0.6814 0.5819 0.1032
S11 S 0.1968 0.3572 0.3221
S12 S 0.6968 0.3221 0.3572
```

Results
space group = No. 36
density of states at the Fermi level = 12.1 states/eV/cell



Record 2
Here is a relaxed Ac2TiS6 crystal from the Alexandria database. Energies are from PBE.

The structure in CIF format:
```
data_Ac2TiS6
_cell_length_a 3.9832
_cell_length_b 8.1996
_cell_length_c 7.5001
_cell_angle_alpha 123.14
_cell_angle_beta 90.00
_cell_angle_gamma 90.00
_symmetry_space_group_name_H-M 'P 1'
_symmetry_Int_Tables_number 1
_symmetry_space_group_name_Hall 'P 1'
loop_
_atom_site_label
_atom_site_type_symbol
_atom_site_fract_x
_atom_site_fract_y
_atom_site_fract_z
Ac1 Ac 0.0000 0.3204 0.6618
Ac2 Ac 0.0000 0.6587 0.3382
Ti1 Ti 0.5000 0.0740 0.0000
S1 S 0.5000 0.5619 0.0000
S2 S 0.5000 0.3943 0.4020
S3 S 0.5000 0.9922 0.5980
S4 S 0.0000 0.2375 0.0000
S5 S 0.0000 0.7996 0.8382
S6 S 0.0000 0.9614 0.1618
```

Results
space group = No. 38



Record 3
Here is a relaxed Ac2TiTl2S6 crystal from the Alexandria database. Energies are from PBE.

The structure in CIF format:
```
data_Ac2TiTl2S6
_cell_length_a 7.1612
_cell_length_b 7.1612
_cell_length_c 7.7224
_cell_angle_alpha 98.86
_cell_angle_beta 98.86
_cell_angle_gamma 118.81
_symmetry_space_group_name_H-M 'P 1'
_symmetry_Int_Tables_number 1
_symmetry_space_group_name_Hall 'P 1'
loop_
_atom_site_label
_atom_site_type_symbol
_atom_site_fract_x
_atom_site_fract_y
_atom_site_fract_z
Ac1 Ac 0.3341 0.6659 0.5000
Ac2 Ac 0.6659 0.3341 0.5000
Ti1 Ti 0.0000 0.0000 0.5000
Tl1 Tl 0.8348 0.1652 0.0000
Tl2 Tl 0.1652 0.8348 0.0000
S1 S 0.7875 0.7875 0.7025
S2 S 0.0639 0.3506 0.6931
S3 S 0.2125 0.2125 0.2975
S4 S 0.3506 0.0639 0.6931
S5 S 0.9361 0.6494 0.3069
S6 S 0.6494 0.9361 0.3069
```

Results
space group = No. 12



Record 4
Here is a relaxed Ac2TiVS6 crystal from the Alexandria database. Energies are from PBE.

The structure in CIF format:
```
data_Ac2TiVS6
_cell_length_a 6.5468
_cell_length_b 7.0746
_cell_length_c 9.4871
_cell_angle_alpha 90.00
_cell_angle_beta 89.81
_cell_angle_gamma 90.00
_symmetry_space_group_name_H-M 'P 1'
_symmetry_Int_Tables_number 1
_symmetry_space_group_name_Hall 'P 1'
loop_
_atom_site_label
_atom_site_type_symbol
_atom_site_fract_x
_atom_site_fract_y
_atom_site_fract_z
Ac1 Ac 0.0269 0.9152 0.2502
Ac2 Ac 0.5269 0.5848 0.7502
Ac3 Ac 0.9731 0.0848 0.7498
Ac4 Ac 0.4731 0.4152 0.2498
Ti1 Ti 0.5000 0.0000 0.5000
Ti2 Ti 0.0000 0.5000 0.0000
V1 V 0.5000 0.0000 0.0000
V2 V 0.0000 0.5000 0.5000
S1 S 0.3084 0.6961 0.0417
S2 S 0.8084 0.8039 0.5417
S3 S 0.6916 0.3039 0.9583
S4 S 0.1916 0.1961 0.4583
S5 S 0.3085 0.6986 0.4583
S6 S 0.8085 0.8014 0.9583
S7 S 0.6915 0.3014 0.5417
S8 S 0.1915 0.1986 0.0417
S9 S 0.9200 0.5055 0.2495
S10 S 0.4200 0.9945 0.7495
S11 S 0.0800 0.4945 0.7505
S12 S 0.5800 0.0055 0.2505
```

Results
space group = No. 14
density of states at the Fermi level = 9.3 states/eV/cell



Record 5
Here is a relaxed Ac2TiZnS6 crystal from the Alexandria database. Energies are from PBE.

The structure in CIF format:
```
data_Ac2TiZnS6
_cell_length_a 6.6194
_cell_length_b 7.2052
_cell_length_c 9.4580
_cell_angle_alpha 90.00
_cell_angle_beta 90.20
_cell_angle_gamma 90.00
_symmetry_space_group_name_H-M 'P 1'
_symmetry_Int_Tables_number 1
_symmetry_space_group_name_Hall 'P 1'
loop_
_atom_site_label
_atom_site_type_symbol
_atom_site_fract_x
_atom_site_fract_y
_atom_site_fract_z
Ac1 Ac 0.0284 0.9089 0.2496
Ac2 Ac 0.5284 0.5911 0.7496
Ac3 Ac 0.9716 0.0911 0.7504
Ac4 Ac 0.4716 0.4089 0.2504
Ti1 Ti 0.5000 0.0000 0.0000
Ti2 Ti 0.0000 0.5000 0.5000
Zn1 Zn 0.5000 0.0000 0.5000
Zn2 Zn 0.0000 0.5000 0.0000
S1 S 0.3164 0.7009 0.0448
S2 S 0.8164 0.7991 0.5448
S3 S 0.6836 0.2991 0.9552
S4 S 0.1836 0.2009 0.4552
S5 S 0.3027 0.6843 0.4557
S6 S 0.8027 0.8157 0.9557
S7 S 0.6973 0.3157 0.5443
S8 S 0.1973 0.1843 0.0443
S9 S 0.9107 0.5101 0.2510
S10 S 0.4107 0.9899 0.7510
S11 S 0.0893 0.4899 0.7490
S12 S 0.5893 0.0101 0.2490
```

Results
space group = No. 14



Record 6
Here is a relaxed AcTlS2 crystal from the Alexandria database. Energies are from PBE.

The structure in CIF format:
```
data_AcTlS2
_cell_length_a 3.8489
_cell_length_b 5.0919
_cell_length_c 5.0919
_cell_angle_alpha 90.00
_cell_angle_beta 90.00
_cell_angle_gamma 90.00
_symmetry_space_group_name_H-M 'P 1'
_symmetry_Int_Tables_number 1
_symmetry_space_group_name_Hall 'P 1'
loop_
_atom_site_label
_atom_site_type_symbol
_atom_site_fract_x
_atom_site_fract_y
_atom_site_fract_z
S1 S 0.0000 0.0000 0.5000
S2 S 0.0000 0.5000 0.0000
Ac1 Ac 0.5000 0.5000 0.5000
Tl1 Tl 0.5000 0.0000 0.0000
```

Results
space group = No. 123
density of states at the Fermi level = 0.2 states/eV/cell



Record 7
Here is a relaxed Ac3TlS4 crystal from the Alexandria database. Energies are from PBE.

The structure in CIF format:
```
data_Ac3TlS4
_cell_length_a 6.1226
_cell_length_b 6.1226
_cell_length_c 6.1226
_cell_angle_alpha 90.00
_cell_angle_beta 90.00
_cell_angle_gamma 90.00
_symmetry_space_group_name_H-M 'P 1'
_symmetry_Int_Tables_number 1
_symmetry_space_group_name_Hall 'P 1'
loop_
_atom_site_label
_atom_site_type_symbol
_atom_site_fract_x
_atom_site_fract_y
_atom_site_fract_z
S1 S 0.5000 0.0000 0.0000
S2 S 0.0000 0.5000 0.0000
S3 S 0.0000 0.0000 0.5000
S4 S 0.5000 0.5000 0.5000
Ac1 Ac 0.0000 0.5000 0.5000
Ac2 Ac 0.5000 0.0000 0.5000
Ac3 Ac 0.5000 0.5000 0.0000
Tl1 Tl 0.0000 0.0000 0.0000
```

Results
space group = No. 221
density of states at the Fermi level = 3.0 states/eV/cell



Record 8
Here is a relaxed Ac2TlS crystal from the Alexandria database. Energies are from PBE.

The structure in CIF format:
```
data_Ac2TlS
_cell_length_a 4.2246
_cell_length_b 4.2246
_cell_length_c 9.1127
_cell_angle_alpha 76.60
_cell_angle_beta 76.60
_cell_angle_gamma 60.00
_symmetry_space_group_name_H-M 'P 1'
_symmetry_Int_Tables_number 1
_symmetry_space_group_name_Hall 'P 1'
loop_
_atom_site_label
_atom_site_type_symbol
_atom_site_fract_x
_atom_site_fract_y
_atom_site_fract_z
Ac1 Ac 0.0689 0.0689 0.7934
Ac2 Ac 0.2642 0.2642 0.2075
Tl1 Tl 0.4995 0.4995 0.5014
S1 S 0.6674 0.6674 0.9978
```

Results
space group = No. 160
density of states at the Fermi level = 4.5 states/eV/cell



Record 9
Here is a relaxed AcTl2S crystal from the Alexandria database. Energies are from PBE.

The structure in CIF format:
```
data_AcTl2S
_cell_length_a 3.8877
_cell_length_b 3.8877
_cell_length_c 10.6956
_cell_angle_alpha 79.53
_cell_angle_beta 79.53
_cell_angle_gamma 60.00
_symmetry_space_group_name_H-M 'P 1'
_symmetry_Int_Tables_number 1
_symmetry_space_group_name_Hall 'P 1'
loop_
_atom_site_label
_atom_site_type_symbol
_atom_site_fract_x
_atom_site_fract_y
_atom_site_fract_z
S1 S 0.5000 0.5000 0.5000
Ac1 Ac 0.0000 0.0000 0.0000
Tl1 Tl 0.1088 0.1088 0.6736
Tl2 Tl 0.8912 0.8912 0.3264
```

Results
space group = No. 166
density of states at the Fermi level = 2.5 states/eV/cell



Record 10
Here is a relaxed Ac2Tl4S5 crystal from the Alexandria database. Energies are from PBE.

The structure in CIF format:
```
data_Ac2Tl4S5
_cell_length_a 4.4993
_cell_length_b 4.4993
_cell_length_c 24.2951
_cell_angle_alpha 84.69
_cell_angle_beta 84.69
_cell_angle_gamma 60.00
_symmetry_space_group_name_H-M 'P 1'
_symmetry_Int_Tables_number 1
_symmetry_space_group_name_Hall 'P 1'
loop_
_atom_site_label
_atom_site_type_symbol
_atom_site_fract_x
_atom_site_fract_y
_atom_site_fract_z
Ac1 Ac 0.1403 0.1403 0.5790
Ac2 Ac 0.8597 0.8597 0.4210
Tl1 Tl 0.6881 0.6881 0.9356
Tl2 Tl 0.5914 0.5914 0.2257
Tl3 Tl 0.4086 0.4086 0.7743
Tl4 Tl 0.3119 0.3119 0.0644
S1 S 0.7907 0.7907 0.6279
S2 S 0.6266 0.6266 0.1203
S3 S 0.5000 0.5000 0.5000
S4 S 0.3734 0.3734 0.8797
S5 S 0.2093 0.2093 0.3721
```

Results
space group = No. 166
density of states at the Fermi level = 0.9 states/eV/cell



One value per record, in order, for VASP energy: -64.165, -54.113, -60.656, -66.700, -58.120, -19.846, -44.971, -18.960, -13.560, -49.255 eV per formula unit.
One value per record, in order, for magnetization: 2.02, 0.00, 0.00, 5.88, 0.00, 0.00, 0.00, 0.00, 0.00, 0.00 μB per cell.